[1]
Compound: AlNiIrRh
Source: the Alexandria database
Functional: PBE
Structure: optimized geometry

abc: 4.225 4.225 4.225
angles: 60.00 60.00 60.00
Sites, in units of the cell vectors:
Al 0.000 0.000 0.000
Ni 0.500 0.500 0.500
Ir 0.750 0.750 0.750
Rh 0.250 0.250 0.250

**Volume**: 13.329 Å³ per atom
**Energy relative to the elements**: -0.444 eV/atom
**Total DFT energy (no corrections)**: -6.8782 eV/atom
**Space-group type**: F-43m (216)
**Magnetic moment**: 1.731 μB/cell

[2]
Compound: Al4Ni2IrRh
Source: the Alexandria database
Functional: PBE
Structure: optimized geometry

abc: 7.258 7.258 7.258
angles: 33.62 33.62 33.62
Sites, in units of the cell vectors:
Al 0.125 0.125 0.125
Al 0.374 0.374 0.374
Al 0.626 0.626 0.626
Al 0.875 0.875 0.875
Ni 0.250 0.250 0.250
Ni 0.750 0.750 0.750
Ir 0.500 0.500 0.500
Rh 0.000 0.000 0.000

**Volume**: 13.052 Å³ per atom
**Energy relative to the elements**: -0.806 eV/atom
**Total DFT energy (no corrections)**: -6.1493 eV/atom
**Space-group type**: R-3m (166)
**Magnetic moment**: 0.000 μB/cell